1.
This record from Alexandria describes a geometry-optimized LaDy2PaP4 structure. The functional is PBE.

Unit cell a=5.7340 b=5.7340 c=11.4681 alpha=90.00 beta=90.00 gamma=90.00
Closest atoms and distances in Å follow each position.
Space group I-4m2 (No. 119)
Inequivalent atoms, fractional coordinates:
La 0.0000 0.0000 0.0000 (multiplicity 2)  6 P 2.87-2.93
Dy 0.0000 0.0000 0.5000 (multiplicity 2)  6 P 2.80-2.87
Dy 0.0000 0.5000 0.2500 (multiplicity 2)  6 P 2.87-2.95
Pa 0.0000 0.5000 0.7500 (multiplicity 2)  6 P 2.78-2.87
P 0.0000 0.0000 0.2556 (multiplicity 4)  3 Dy 2.80-2.87, 2 Pa 2.87, 1 La 2.93
P 0.0000 0.5000 0.5074 (multiplicity 4)  1 Pa 2.78, 2 La 2.87, 3 Dy 2.87-2.95

The calculated formation energy comes out at -1.507 eV per atom.


2.
This record from Alexandria describes a geometry-optimized Ca6GaHg3 structure. The functional is PBE.

Unit cell a=9.4274 b=5.4340 c=11.8901 alpha=90.00 beta=107.66 gamma=90.00
Closest atoms and distances in Å follow each position.
Space group P2_1/m (No. 11)
Inequivalent atoms, fractional coordinates:
Ca 0.0116 0.2500 0.4033 (multiplicity 2)  4 Hg 3.16-3.52
Ca 0.1363 0.7500 0.1723 (multiplicity 2)  1 Ga 3.10, 5 Hg 3.15-3.37
Ca 0.2644 0.2500 0.9974 (multiplicity 2)  4 Hg 3.22-3.54, 3 Ga 3.26-3.48, 3 Ca 3.56-3.61
Ca 0.3538 0.7500 0.8314 (multiplicity 2)  3 Hg 3.22-3.47, 3 Ga 3.24-3.31, 1 Ca 3.56
Ca 0.3599 0.2500 0.3216 (multiplicity 2)  4 Hg 3.42-3.83, 8 Ca 3.48-3.70
Ca 0.3961 0.2500 0.6216 (multiplicity 2)  1 Ga 3.03, 3 Hg 3.04-3.26
Ga 0.4364 0.7500 0.1165 (multiplicity 2)  7 Ca 3.03-3.31
Hg 0.0398 0.7500 0.8858 (multiplicity 2)  7 Ca 3.15-3.45
Hg 0.1286 0.2500 0.7142 (multiplicity 2)  5 Ca 3.04-3.22
Hg 0.2832 0.7500 0.4684 (multiplicity 2)  10 Ca 3.26-3.65

The calculated formation energy comes out at -0.413 eV per atom.


3.
This record from Alexandria describes a geometry-optimized Ce3As2S structure. The functional is PBE.

Unit cell a=11.9551 b=7.6790 c=7.5027 alpha=90.00 beta=90.00 gamma=90.00
Closest atoms and distances in Å follow each position.
Space group Cmcm (No. 63)
Inequivalent atoms, fractional coordinates:
Ce 0.0000 0.0427 0.2500 (multiplicity 4)  1 S 2.80, 2 As 2.93
Ce 0.1691 0.5000 0.0000 (multiplicity 8)  2 S 2.85, 4 As 2.97
As 0.1882 0.2008 0.7500 (multiplicity 8)  5 Ce 2.93-2.97
S 0.0000 0.4075 0.2500 (multiplicity 4)  5 Ce 2.80-2.85

Its offset from the most stable computed form is 0.380 eV per atom.


4.
This record from Alexandria describes a geometry-optimized YCd3Au3 structure. The functional is PBE.

Unit cell a=8.3633 b=4.8508 c=8.3808 alpha=90.00 beta=119.92 gamma=90.00
Closest atoms and distances in Å follow each position.
Space group P2_1/m (No. 11)
Inequivalent atoms, fractional coordinates:
Y 0.1660 0.2500 0.3328 (multiplicity 2)  9 Au 3.07-3.09, 3 Cd 3.33-3.34
Cd 0.2758 0.7500 0.9979 (multiplicity 2)  4 Au 2.87-3.03, 4 Cd 3.06-3.07
Cd 0.2778 0.2500 0.7747 (multiplicity 2)  4 Au 2.87-3.03, 4 Cd 3.06-3.07
Cd 0.4973 0.2500 0.2222 (multiplicity 2)  4 Au 2.87-3.03, 4 Cd 3.06
Au 0.0299 0.2500 0.9182 (multiplicity 2)  4 Cd 2.87-3.03, 2 Au 2.95, 3 Y 3.07-3.09
Au 0.1118 0.7500 0.5287 (multiplicity 2)  4 Cd 2.87-3.03, 2 Au 2.95, 3 Y 3.07-3.09
Au 0.4178 0.7500 0.3886 (multiplicity 2)  4 Cd 2.87-3.03, 2 Au 2.95, 3 Y 3.08-3.09

Its offset from the most stable computed form is 0.000 eV per atom. The calculated formation energy comes out at -0.407 eV per atom.


5.
This record from Alexandria describes a geometry-optimized LaCu2Ru structure. The functional is PBE.

Unit cell a=7.3084 b=4.3783 c=5.6686 alpha=90.00 beta=120.88 gamma=90.00
Closest atoms and distances in Å follow each position.
Space group C2/m (No. 12)
Inequivalent atoms, fractional coordinates:
La 0.0000 0.0000 0.0000 (multiplicity 2)  6 Cu 2.89-3.12
Cu 0.1989 0.0000 0.5923 (multiplicity 4)  3 Ru 2.51-2.53, 3 Cu 2.53-2.69
Ru 0.0000 0.5000 0.5000 (multiplicity 2)  6 Cu 2.51-2.53

Its offset from the most stable computed form is 0.046 eV per atom. The calculated formation energy comes out at -0.012 eV per atom.


6.
This record from Alexandria describes a geometry-optimized Ti6Ga2Au structure. The functional is PBE.

Unit cell a=2.7524 b=7.7685 c=14.0663 alpha=90.00 beta=90.00 gamma=90.00
Closest atoms and distances in Å follow each position.
Space group Immm (No. 71)
Inequivalent atoms, fractional coordinates:
Ti 0.0000 0.1752 0.0000 (multiplicity 4)  5 Ti 2.65-2.75, 4 Ga 2.87, 2 Au 2.87
Ti 0.0000 0.3136 0.1720 (multiplicity 8)  6 Ti 2.65-2.90, 3 Ga 2.81-2.89
Ga 0.0000 0.5000 0.3495 (multiplicity 4)  2 Ga 2.75, 10 Ti 2.81-2.89
Au 0.0000 0.0000 0.5000 (multiplicity 2)  2 Au 2.75, 4 Ti 2.87

The calculated formation energy comes out at -0.110 eV per atom.


7.
This record from Alexandria describes a geometry-optimized LaNp4S8 structure. The functional is PBE.

Unit cell a=7.9705 b=7.9705 c=20.2279 alpha=90.00 beta=90.00 gamma=120.00
Closest atoms and distances in Å follow each position.
Space group R-3m (No. 166, hexagonal axes)
Inequivalent atoms, fractional coordinates:
La 0.0000 0.0000 0.0000 (multiplicity 3)  6 S 2.94
Np 0.0000 0.0000 0.5000 (multiplicity 3)  6 S 2.78
Np 0.0000 0.5000 0.5000 (multiplicity 9)  6 S 2.68-2.73
S 0.0000 0.0000 0.2347 (multiplicity 6)  3 Np 2.68
S 0.0056 0.5028 0.7591 (multiplicity 18)  3 Np 2.73-2.78, 1 La 2.94

The total energy is -326.60 eV/cell.


8.
This record from Alexandria describes a geometry-optimized CaTl2Cl structure. The functional is PBE.

Unit cell a=4.7364 b=4.7364 c=5.8159 alpha=90.00 beta=90.00 gamma=90.00
Closest atoms and distances in Å follow each position.
Space group P4/mmm (No. 123)
Inequivalent atoms, fractional coordinates:
Ca 0.0000 0.0000 0.0000 (multiplicity 1)  2 Cl 2.91
Tl 0.5000 0.5000 0.2459 (multiplicity 2)  2 Tl 2.86-2.96
Cl 0.0000 0.0000 0.5000 (multiplicity 1)  2 Ca 2.91

Its offset from the most stable computed form is 0.283 eV per atom.


| no. | magnetization (μB per formula unit) |
| --- | --- |
| 1 | 0.0 |
| 2 | 0.0 |
| 3 | 3.6 |
| 4 | 0.0 |
| 5 | 0.0 |
| 6 | 0.0 |
| 7 | 15.0 |
| 8 | 0.0 |